Computed, not measured: crystalline Mg4Ag3 at its relaxed geometry at the PBE level of DFT.

E (eV per cell): -31.71

```
data_Mg4Ag3
_cell_length_a 7.9264
_cell_length_b 7.9264
_cell_length_c 4.8382
_cell_angle_alpha 90.00
_cell_angle_beta 90.00
_cell_angle_gamma 120.00
_space_group_name_H-M_alt 'P 63/m'
_space_group_IT_number 176
_space_group_name_Hall '-P 6c'
loop_
_atom_site_label
_atom_site_type_symbol
_atom_site_fract_x
_atom_site_fract_y
_atom_site_fract_z
_atom_site_occupancy
Mg1 Mg 0.0338 0.2440 0.2500 1
Mg2 Mg 0.3333 0.6667 0.2500 1
Ag1 Ag 0.0908 0.4688 0.7500 1
```